# 1
{"formula": "Ti4Fe3Co2", "functional": "PBE", "state": "relaxed", "formation_enthalpy_0k_ev_per_fu": -2.72, "spacegroup": "P-3m1, No. 164", "lattice": [[4.1680, 0.0000, 0.0000], [-2.0840, 3.6096, 0.0000], [0.0000, 0.0000, 7.8093]], "species": ["Ti", "Ti", "Ti", "Ti", "Fe", "Fe", "Fe", "Co", "Co"], "fractional_positions": [[0.0000, 0.0000, 0.1707], [0.0000, 0.0000, 0.8293], [0.3333, 0.6667, 0.6085], [0.6667, 0.3333, 0.3915], [0.0000, 0.0000, 0.5000], [0.3333, 0.6667, 0.9513], [0.6667, 0.3333, 0.0487], [0.3333, 0.6667, 0.2795], [0.6667, 0.3333, 0.7205]]}

***

# 2
{"formula": "Y2NiHgH", "functional": "PBE", "state": "relaxed", "total_energy_ev_per_atom": -4.906, "spacegroup": "P4/mmm, No. 123", "lattice": [[5.0681, 0.0000, 0.0000], [0.0000, 5.0681, 0.0000], [0.0000, 0.0000, 3.6070]], "species": ["Y", "Y", "Ni", "Hg", "H"], "fractional_positions": [[0.0000, 0.5000, 0.0000], [0.5000, 0.0000, 0.0000], [0.0000, 0.0000, 0.5000], [0.5000, 0.5000, 0.5000], [0.0000, 0.0000, 0.0000]]}

***

# 3
{"formula": "Sc3Cu4", "functional": "PBE", "state": "relaxed", "formation_enthalpy_0k_ev_per_fu": -1.37, "de_polymorph_mev_per_atom": 0.0, "spacegroup": "I4/mmm, No. 139", "lattice": [[-1.6546, 1.6546, 10.6502], [1.6546, -1.6546, 10.6502], [1.6546, 1.6546, -10.6502]], "species": ["Sc", "Sc", "Sc", "Cu", "Cu", "Cu", "Cu"], "fractional_positions": [[0.0000, 0.0000, 0.0000], [0.3023, 0.3023, 0.0000], [0.6977, 0.6977, 0.0000], [0.1280, 0.1280, 0.0000], [0.4313, 0.4313, 0.0000], [0.5687, 0.5687, 0.0000], [0.8720, 0.8720, 0.0000]]}

***

# 4
{"formula": "CeTaRu2", "functional": "PBE", "state": "relaxed", "formation_enthalpy_0k_ev_per_fu": -0.69, "spacegroup": "Fm-3m, No. 225", "lattice": [[0.0000, 3.3031, 3.3031], [3.3031, 0.0000, 3.3031], [3.3031, 3.3031, 0.0000]], "species": ["Ce", "Ta", "Ru", "Ru"], "fractional_positions": [[0.0000, 0.0000, 0.0000], [0.5000, 0.5000, 0.5000], [0.2500, 0.2500, 0.2500], [0.7500, 0.7500, 0.7500]]}